Compound: KZnOs
Source: Alexandria
Functional: GGA-PBEsol
Structure: relaxed

Calculated values
Crystal system ... cubic
Energy of formation ... 1.769 eV/atom
Energy relative to the lowest polymorph listed for this composition ... 0.6860 eV/atom
Space-group type ... F-43m (216)
Calculated volume ... 66 Å³/cell

Cell: 4.5450 4.5450 4.5450 Å, 60.00 60.00 60.00°
Closest atoms and distances in Å follow each position.
Fractional coordinates of all 3 atoms:
K  0.0000  0.0000  0.0000  4 Zn 2.78
Zn  0.2500  0.2500  0.2500  4 K 2.78, 4 Os 2.78
Os  0.5000  0.5000  0.5000  4 Zn 2.78